# Bi2Te2WO10 | the Alexandria database | PBE with a Hubbard U | relaxed
data_Bi2Te2WO10
_chemical_formula_sum 'Bi8 Te8 W4 O40'
_cell_length_a 12.662
_cell_length_b 5.700
_cell_length_c 12.485
_cell_angle_alpha 90.00
_cell_angle_beta 91.31
_cell_angle_gamma 90.00
_space_group_name_H-M_alt 'C 1 2/c 1'
_space_group_IT_number 15
loop_
_space_group_symop_operation_xyz
'x,y,z'
'-x,-y,-z'
'-x,y,-z+1/2'
'x,-y,z+1/2'
'x+1/2,y+1/2,z'
'-x+1/2,-y+1/2,-z'
'-x+1/2,y+1/2,-z+1/2'
'x+1/2,-y+1/2,z+1/2'
loop_
_atom_site_label
_atom_site_fract_x
_atom_site_fract_y
_atom_site_fract_z
Bi1 0.091 0.242 0.043
Te1 0.191 0.268 0.359
W1 0.000 0.177 0.750
O1 0.000 0.094 0.599
O2 0.075 0.396 0.439
O3 0.111 0.378 0.744
O4 0.115 0.113 0.245
O5 0.217 0.000 0.451
# Total energy in eV for the cell shown: -366.94
# Spin magnetization in μB per cell: 0.0
# DOS(E_F) in states/eV per cell: 0.00